Entry 1:
Computed, not measured: a relaxed Nd4Ho2Tm3 crystal at the PBE-GGA level of DFT.

Summary:
The calculation puts the calculated formation energy at 0.19 eV/f.u. The density of states at the Fermi level is 11.76 states/eV/cell. For the polymorph energy (0 for the lowest one), the calculation gives 0.0000 eV per atom.

abc: 5.0809 6.1780 10.7447
angles: 73.63 89.96 65.74
Last column: nearest neighbours and their distance in Å.
Space group P-1 (No. 2)
Symmetry-distinct sites (fractional):
Nd (0.0014, 0.4970, 0.3332) (multiplicity 2)  3 Ho 3.56-3.57, 6 Tm 3.56-3.59, 3 Nd 3.59-3.60
Nd (0.3336, 0.8329, 0.1118) (multiplicity 2)  4 Tm 3.57-3.59, 4 Ho 3.58-3.61, 4 Nd 3.59-3.60
Ho (0.3316, 0.8368, 0.7752) (multiplicity 2)  5 Tm 3.54-3.62, 7 Nd 3.56-3.61
Tm (0.0000, 0.5000, 0.0000) (multiplicity 1)  8 Nd 3.57-3.58, 4 Ho 3.61-3.62
Tm (0.3340, 0.8318, 0.4463) (multiplicity 2)  3 Ho 3.54-3.59, 3 Tm 3.55-3.57, 6 Nd 3.56-3.59

---

Entry 2:
Computed, not measured: a relaxed Nd5Ho5Tm crystal at the PBE-GGA level of DFT.

Summary:
The calculation puts the calculated formation energy at 2.90 eV/f.u. The density of states at the Fermi level is 38.03 states/eV/cell.

abc: 18.9383 5.9871 7.0359
angles: 90.00 111.76 90.00
Last column: nearest neighbours and their distance in Å.
Space group C2/m (No. 12)
Symmetry-distinct sites (fractional):
Nd (0.0000, 0.0000, 0.0000) (multiplicity 2)  2 Ho 2.97, 2 Tm 2.99
Nd (0.1755, 0.5000, 0.4203) (multiplicity 4)  6 Ho 3.28-3.62, 2 Nd 3.44-3.59, 1 Tm 3.54
Nd (0.1756, 0.5000, 0.9313) (multiplicity 4)  6 Ho 3.28-3.62, 2 Nd 3.44-3.59, 1 Tm 3.53
Ho (0.0000, 0.5000, 0.5000) (multiplicity 2)  2 Tm 3.52, 4 Nd 3.57-3.58, 4 Ho 3.68
Ho (0.1217, 0.0000, 0.6223) (multiplicity 4)  4 Ho 3.61-3.68, 6 Nd 3.62-3.96
Ho (0.1686, 0.0000, 0.1691) (multiplicity 4)  3 Nd 2.97-3.28
Tm (0.0000, 0.5000, 0.0000) (multiplicity 2)  2 Nd 2.99

---

Entry 3:
Computed, not measured: a relaxed NdHo4Tm10 crystal at the PBE-GGA level of DFT.

Summary:
The calculation puts the calculated formation energy at 7.38 eV/f.u. The density of states at the Fermi level is 57.02 states/eV/cell.

abc: 9.6973 9.6973 10.6998
angles: 90.00 90.00 90.00
Last column: nearest neighbours and their distance in Å.
Space group I4/m (No. 87)
Symmetry-distinct sites (fractional):
Nd (0.0000, 0.0000, 0.0000) (multiplicity 2)  8 Tm 3.03
Ho (0.0554, 0.7065, 0.5000) (multiplicity 8)  6 Tm 3.38-3.67
Tm (0.0000, 0.5000, 0.2500) (multiplicity 4)  4 Tm 3.08, 4 Ho 3.38
Tm (0.1215, 0.7799, 0.1685) (multiplicity 16)  1 Nd 3.03, 2 Tm 3.08-3.10

---

Entry 4:
Computed, not measured: a relaxed NdHo4Tm7 crystal at the PBE-GGA level of DFT.

Summary:
The calculation puts the calculated formation energy at 3.43 eV/f.u. The density of states at the Fermi level is 42.03 states/eV/cell. For the polymorph energy (0 for the lowest one), the calculation gives 0.2854 eV per atom.

abc: 11.9995 5.7926 12.5075
angles: 90.00 117.95 90.00
Last column: nearest neighbours and their distance in Å.
Space group C2/m (No. 12)
Symmetry-distinct sites (fractional):
Nd (0.0000, 0.0000, 0.0000) (multiplicity 2)  4 Tm 2.90-3.11
Ho (0.1315, 0.5000, 0.7744) (multiplicity 4)  7 Tm 3.33-3.54, 2 Ho 3.63
Ho (0.2497, 0.0000, 0.6833) (multiplicity 4)  4 Tm 3.23-3.52
Tm (0.0000, 0.5000, 0.0000) (multiplicity 2)  2 Nd 2.90, 2 Tm 3.13
Tm (0.0588, 0.0000, 0.3304) (multiplicity 4)  4 Tm 3.26-3.48, 3 Ho 3.54-3.62
Tm (0.1356, 0.5000, 0.5040) (multiplicity 4)  4 Tm 3.21-3.48, 5 Ho 3.23-3.52
Tm (0.2112, 0.0000, 0.9228) (multiplicity 4)  1 Nd 3.11, 4 Tm 3.13-3.36, 4 Ho 3.24-3.35

---

Entry 5:
Computed, not measured: a relaxed Nd3HoTm crystal at the PBE-GGA level of DFT.

Summary:
The calculation puts the calculated formation energy at 0.85 eV/f.u. The density of states at the Fermi level is 28.64 states/eV/cell.

abc: 3.5676 17.5479 11.0338
angles: 90.00 90.00 90.00
Last column: nearest neighbours and their distance in Å.
Space group Cmcm (No. 63)
Symmetry-distinct sites (fractional):
Nd (0.0000, 0.0000, 0.0000) (multiplicity 4)  4 Ho 3.31, 6 Nd 3.57-3.59
Nd (0.0000, 0.3261, 0.0556) (multiplicity 8)  1 Ho 3.39, 6 Nd 3.44-3.59, 1 Tm 3.77
Ho (0.0000, 0.4756, 0.2500) (multiplicity 4)  6 Nd 3.31-3.39, 2 Tm 3.53, 2 Ho 3.57
Tm (0.0000, 0.1491, 0.2500) (multiplicity 4)  2 Ho 3.53, 2 Tm 3.57, 8 Nd 3.77-3.84

---

Entry 6:
Computed, not measured: a relaxed NdHoTm6 crystal at the PBE-GGA level of DFT.

Summary:
The calculation puts the calculated formation energy at 0.20 eV/f.u. The density of states at the Fermi level is 10.16 states/eV/cell. For the polymorph energy (0 for the lowest one), the calculation gives 0.0000 eV per atom.

abc: 7.0308 7.0308 4.9611
angles: 90.00 90.00 90.00
Last column: nearest neighbours and their distance in Å.
Space group P4/mmm (No. 123)
Symmetry-distinct sites (fractional):
Nd (0.0000, 0.0000, 0.0000) (multiplicity 1)  12 Tm 3.52
Ho (0.5000, 0.5000, 0.0000) (multiplicity 1)  12 Tm 3.50-3.52
Tm (0.0000, 0.5000, 0.0000) (multiplicity 2)  8 Tm 3.51, 2 Ho 3.52, 2 Nd 3.52
Tm (0.2518, 0.2518, 0.5000) (multiplicity 4)  8 Tm 3.49-3.54, 2 Ho 3.50, 2 Nd 3.52